(1)
The following is a DFT calculation (PBE) of a geometry-optimized Nd2Cd3Rh4 structure.

Computed properties:
Size of the total moment: 0.00 μB/f.u.
Total energy: -5.05 eV per atom

a b c (Å): 5.827 7.203 9.263
angles (deg): 90.00 108.33 90.00
Positions (direct):
Cd (0.010, 0.750, 0.520)
Cd (0.000, 0.000, 0.000)
Rh (0.342, 0.479, 0.685)
Rh (0.830, 0.250, 0.160)
Cd (0.510, 0.750, 0.520)
Cd (0.490, 0.250, 0.480)
Nd (0.900, 0.412, 0.800)
Rh (0.658, 0.521, 0.315)
Rh (0.330, 0.250, 0.160)
Rh (0.670, 0.750, 0.840)
Nd (0.600, 0.912, 0.200)
Cd (0.990, 0.250, 0.480)
Rh (0.842, 0.021, 0.685)
Rh (0.158, 0.979, 0.315)
Nd (0.400, 0.088, 0.800)
Nd (0.100, 0.588, 0.200)
Cd (0.500, 0.500, 0.000)
Rh (0.170, 0.750, 0.840)

***

(2)
The following is a DFT calculation (PBE) of a geometry-optimized RbAgAs2Br structure.

Computed properties:
Size of the total moment: 2.10 μB/f.u.
Total energy: -2.92 eV per atom
Uncorrected formation energy: 43 meV per atom

a b c (Å): 5.014 5.014 6.620
angles (deg): 90.00 90.00 90.00
Positions (direct):
As (0.500, 0.000, 0.000)
Br (0.000, 0.000, 0.500)
Rb (0.500, 0.500, 0.500)
As (0.000, 0.500, 0.000)
Ag (0.000, 0.000, 0.000)

***

(3)
The following is a DFT calculation (PBE) of a geometry-optimized TlCdGe2Se6 structure.

Computed properties:
Size of the total moment: 0.00 μB/f.u.
Total energy: -3.59 eV per atom
Uncorrected formation energy: -251 meV per atom

a b c (Å): 7.181 9.446 9.446
angles (deg): 83.56 72.67 72.67
Positions (direct):
Se (0.612, 0.837, 0.953)
Se (0.388, 0.163, 0.047)
Se (0.544, 0.572, 0.685)
Se (0.888, 0.047, 0.163)
Se (0.595, 0.080, 0.590)
Tl (0.250, 0.795, 0.205)
Se (0.956, 0.315, 0.428)
Se (0.095, 0.590, 0.080)
Se (0.456, 0.428, 0.315)
Se (0.905, 0.410, 0.920)
Ge (0.219, 0.362, 0.213)
Cd (0.750, 0.800, 0.200)
Se (0.405, 0.920, 0.410)
Cd (0.250, 0.200, 0.800)
Ge (0.781, 0.638, 0.787)
Ge (0.719, 0.213, 0.362)
Tl (0.750, 0.205, 0.795)
Ge (0.281, 0.787, 0.638)
Se (0.112, 0.953, 0.837)
Se (0.044, 0.685, 0.572)

***

(4)
The following is a DFT calculation (PBE) of a geometry-optimized CoTcNi6 structure.

Computed properties:
Size of the total moment: 1.51 μB/f.u.
Total energy: -6.48 eV per atom

a b c (Å): 3.544 5.043 5.043
angles (deg): 89.72 90.00 90.00
Positions (direct):
Ni (0.000, 0.625, 0.375)
Ni (0.500, 0.877, 0.123)
Ni (0.500, 0.874, 0.625)
Co (0.000, 0.127, 0.873)
Ni (0.000, 0.627, 0.876)
Ni (0.000, 0.124, 0.373)
Ni (0.500, 0.375, 0.126)
Tc (0.500, 0.371, 0.629)

***

(5)
The following is a DFT calculation (PBE) of a geometry-optimized CaTc2Se structure.

Computed properties:
Size of the total moment: 0.00 μB/f.u.
Total energy: -6.05 eV per atom
Uncorrected formation energy: 505 meV per atom

a b c (Å): 8.753 8.753 8.753
angles (deg): 20.70 20.70 20.70
Positions (direct):
Tc (0.015, 0.015, 0.015)
Tc (0.485, 0.485, 0.485)
Se (0.750, 0.750, 0.750)
Ca (0.250, 0.250, 0.250)

***

(6)
The following is a DFT calculation (PBE) of a geometry-optimized Re2Tc2Pt structure.

Computed properties:
Size of the total moment: 0.00 μB/f.u.
Total energy: -10.16 eV per atom

a b c (Å): 7.425 7.425 2.831
angles (deg): 90.00 90.00 90.00
Positions (direct):
Tc (0.632, 0.132, 0.000)
Pt (0.500, 0.500, 0.000)
Pt (0.000, 0.000, 0.000)
Re (0.663, 0.837, 0.500)
Tc (0.868, 0.632, 0.000)
Re (0.337, 0.163, 0.500)
Tc (0.368, 0.868, 0.000)
Tc (0.132, 0.368, 0.000)
Re (0.837, 0.337, 0.500)
Re (0.163, 0.663, 0.500)